The following is a PBE calculation of Zr2Ti2Pt after structural relaxation, from Alexandria.

Calculated values
- Energy above the lowest structure with this stoichiometry: 0.03 eV/f.u.
- Energy of formation from the pure elements: -0.312 eV per atom

Lattice parameters (Å, degrees): 6.6585 6.6585 4.4183 90.00 90.00 90.00
Sites, in units of the cell vectors:
Zr  0.1608  0.3392  0.0000
Zr  0.3392  0.8392  0.0000
Zr  0.6608  0.1608  0.0000
Zr  0.8392  0.6608  0.0000
Ti  0.1451  0.6451  0.5000
Ti  0.3549  0.1451  0.5000
Ti  0.6451  0.8549  0.5000
Ti  0.8549  0.3549  0.5000
Pt  0.0000  0.0000  0.5000
Pt  0.5000  0.5000  0.5000